First-principles (PBEsol) data for a relaxed structure of Y2MgRh, as listed in the Alexandria database.

As for the energy: -6.326 eV/atom. The density comes out at 5.45 g/cm³.

Cell lengths 3.469, 3.469, 7.723 Å; angles 90.00, 90.00, 90.00 degrees
Space group P4/mmm (No. 123)
One atom of each set of equivalent atoms:
Y1 0.000 0.000 0.209 (multiplicity 2)
Mg1 0.500 0.500 0.500 (multiplicity 1)
Rh1 0.500 0.500 0.000 (multiplicity 1)